(1)
The following is a PBE-GGA calculation of a geometry-optimized AcHgSe structure, from Alexandria.

M_tot   0.00 μB/cell
ΔE_f (raw)   -0.94 eV per atom
Space-group type   P3m1

abc: 5.0830 5.0830 4.5703
angles: 90.00 90.00 120.00
Fractional coordinates of all 3 atoms:
Ac: 0.6667 0.3333 0.4282
Hg: 0.0000 0.0000 0.9901
Se: 0.3333 0.6667 0.5817

(2)
The following is a PBE-GGA calculation of a geometry-optimized LiSmDyAg structure, from Alexandria.

Energy of formation from the pure elements   -0.08 eV/atom
M_tot   0.00 μB/cell
Space-group type   F-43m

abc: 5.2201 5.2201 5.2201
angles: 60.00 60.00 60.00
Fractional coordinates of all 4 atoms:
Li: 0.7500 0.7500 0.7500
Ag: 0.2500 0.2500 0.2500
Sm: 0.5000 0.5000 0.5000
Dy: 0.0000 0.0000 0.0000

(3)
The following is a PBE-GGA calculation of a geometry-optimized Np2AlSi2Ru5 structure, from Alexandria.

M_tot   12.36 μB/cell
ΔE_f (raw)   -0.43 eV per atom
Space-group type   P4/mbm

abc: 3.1472 10.0490 10.0490
angles: 90.00 90.00 90.00
Site moments in Bohr magnetons follow the coordinates.
Fractional coordinates of all 20 atoms:
Np: 0.0000 0.6744 0.1744  3.41
Np: 0.0000 0.3256 0.8256  3.41
Np: 0.0000 0.1744 0.3256  3.41
Np: 0.0000 0.8256 0.6744  3.41
Al: 0.0000 0.0000 0.0000  -0.01
Al: 0.0000 0.5000 0.5000  -0.01
Si: 0.0000 0.1286 0.6286  0.00
Si: 0.0000 0.8714 0.3714  0.00
Si: 0.0000 0.6286 0.8714  0.00
Si: 0.0000 0.3714 0.1286  0.00
Ru: 0.5000 0.2060 0.0605  -0.21
Ru: 0.5000 0.7940 0.9395  -0.21
Ru: 0.5000 0.0605 0.7940  -0.21
Ru: 0.5000 0.7060 0.4395  -0.21
Ru: 0.5000 0.9395 0.2060  -0.21
Ru: 0.5000 0.2940 0.5605  -0.21
Ru: 0.5000 0.5605 0.7060  -0.21
Ru: 0.5000 0.4395 0.2940  -0.21
Ru: 0.5000 0.5000 0.0000  -0.13
Ru: 0.5000 0.0000 0.5000  -0.13

(4)
The following is a PBE-GGA calculation of a geometry-optimized Pm5Nd4Pb structure, from Alexandria.

Energy of formation from the pure elements   0.08 eV/atom
M_tot   0.00 μB/cell
Space-group type   I4mm

abc: 6.1112 8.2193 8.2193
angles: 82.06 68.18 68.18
Fractional coordinates of all 10 atoms:
Pm: 0.7625 0.3758 0.9998
Pm: 0.1383 0.9998 0.6242
Pm: 0.7623 0.0002 0.3758
Pm: 0.1381 0.6242 0.0002
Pm: 0.6743 0.0000 0.0000
Nd: 0.4611 0.3110 0.6892
Nd: 0.7721 0.6892 0.6890
Nd: 0.1503 0.3108 0.3110
Nd: 0.4613 0.6890 0.3108
Pb: 0.1899 0.0000 0.0000